The following is a GGA-PBE calculation of an optimized crystal structure of CaCePu2Bi4, from the Alexandria database.

energy of formation from the pure elements = -0.526 eV/atom
E_tot = -7.04 eV per atom
crystal system = monoclinic

CIF file:
```
data_CaCePu2Bi4
_cell_length_a 7.9233
_cell_length_b 4.5923
_cell_length_c 7.9294
_cell_angle_alpha 90.00
_cell_angle_beta 109.42
_cell_angle_gamma 90.00
_symmetry_space_group_name_H-M 'P 1'
_symmetry_Int_Tables_number 1
loop_
_symmetry_equiv_pos_as_xyz
'x,y,z'
loop_
_atom_site_label
_atom_site_type_symbol
_atom_site_fract_x
_atom_site_fract_y
_atom_site_fract_z
Ca1 Ca 0.0000 0.0000 0.0000
Ce1 Ce 0.5000 0.5000 0.0000
Pu1 Pu 0.0000 0.5000 0.5000
Pu2 Pu 0.5000 0.0000 0.5000
Bi1 Bi 0.2517 0.0000 0.7473
Bi2 Bi 0.2562 0.5000 0.2570
Bi3 Bi 0.7438 0.5000 0.7430
Bi4 Bi 0.7483 0.0000 0.2527
```